(1)
# GGA-PBE HfScPt, optimized geometry
data_HfScPt
_chemical_formula_sum 'Hf3 Sc3 Pt3'
_space_group_name_H-M_alt 'P -6 2 m'
_space_group_IT_number 189
_space_group_name_Hall 'P -6 -2'
_cell_length_a 6.9145
_cell_length_b 6.9145
_cell_length_c 4.5083
_cell_angle_alpha 90.00
_cell_angle_beta 90.00
_cell_angle_gamma 120.00
loop_
_atom_site_label
_atom_site_type_symbol
_atom_site_fract_x
_atom_site_fract_y
_atom_site_fract_z
_atom_site_occupancy
Hf1 Hf 0.0000 0.7448 0.0000 1
Sc1 Sc 0.0000 0.4149 0.5000 1
Pt1 Pt 0.0000 0.0000 0.5000 1
Pt2 Pt 0.3333 0.6667 0.0000 1
# Crystal system: hexagonal
# Energy above the most stable polymorph in this dataset in eV per atom: 0.000


(2)
# GGA-PBE Hf2ScPt9, optimized geometry
data_Hf2ScPt9
_chemical_formula_sum 'Hf2 Sc1 Pt9'
_space_group_name_H-M_alt 'P 4/m m m'
_space_group_IT_number 123
_space_group_name_Hall '-P 4 2'
_cell_length_a 4.026
_cell_length_b 4.026
_cell_length_c 12.064
_cell_angle_alpha 90.00
_cell_angle_beta 90.00
_cell_angle_gamma 90.00
loop_
_atom_site_label
_atom_site_type_symbol
_atom_site_fract_x
_atom_site_fract_y
_atom_site_fract_z
_atom_site_occupancy
Hf1 Hf 0.000 0.000 0.169 1
Sc1 Sc 0.000 0.000 0.500 1
Pt1 Pt 0.000 0.500 0.000 1
Pt2 Pt 0.000 0.500 0.332 1
Pt3 Pt 0.500 0.500 0.166 1
Pt4 Pt 0.500 0.500 0.500 1
# Crystal system: tetragonal
# DFT total energy in eV/atom: -7.828